(1)
Density functional theory data (GGA-PBE) for ZrBe2Fe after structural relaxation.

It has space group P4/mmm (No. 123), with a = 3.579 Å, b = 3.579 Å, c = 3.994 Å, α = 90.00°, β = 90.00° and γ = 90.00°. The distinct sites, in fractional coordinates, are Zr at (0.000, 0.000, 0.000), Be at (0.000, 0.500, 0.500) and Fe at (0.500, 0.500, 0.000).

The formation energy comes out at 0.1142 eV/atom. As for the energy above the most stable polymorph in this dataset: 232 meV per atom.



(2)
Density functional theory data (GGA-PBE) for ZrBeFe3 after structural relaxation.

It has space group Pm-3m (No. 221), with a = 4.545 Å, b = 4.545 Å, c = 4.545 Å, α = 90.00°, β = 90.00° and γ = 90.00°. The distinct sites, in fractional coordinates, are Zr at (0.000, 0.000, 0.000), Be at (0.500, 0.500, 0.500) and Fe at (0.000, 0.000, 0.500).

The formation energy comes out at 1.8323 eV/atom. As for the energy above the most stable polymorph in this dataset: 1680 meV per atom.



(3)
Density functional theory data (GGA-PBE) for Zr2BeFe after structural relaxation.

It has space group F-43m (No. 216), with a = 6.285 Å, b = 6.285 Å, c = 6.285 Å, α = 90.00°, β = 90.00° and γ = 90.00°. The distinct sites, in fractional coordinates, are Zr at (0.000, 0.000, 0.000), Zr at (0.250, 0.250, 0.250), Be at (0.000, 0.000, 0.500) and Fe at (0.250, 0.250, 0.750).

The formation energy comes out at 0.2096 eV/atom.



(4)
Density functional theory data (GGA-PBE) for ZrBeFe after structural relaxation.

It has space group I4mm (No. 107), with a = 3.040 Å, b = 3.040 Å, c = 8.782 Å, α = 90.00°, β = 90.00° and γ = 90.00°. The distinct sites, in fractional coordinates, are Zr at (0.000, 0.000, 0.000), Be at (0.000, 0.000, 0.300) and Fe at (0.000, 0.000, 0.706).

The formation energy comes out at -0.0326 eV/atom. As for the energy above the most stable polymorph in this dataset: 161 meV per atom.



(5)
Density functional theory data (GGA-PBE) for Zr2BeFe2 after structural relaxation.

It has space group P4/mbm (No. 127), with a = 6.138 Å, b = 6.138 Å, c = 4.024 Å, α = 90.00°, β = 90.00° and γ = 90.00°. The distinct sites, in fractional coordinates, are Zr at (0.186, 0.314, 0.000), Be at (0.000, 0.000, 0.500) and Fe at (0.125, 0.625, 0.500).

The formation energy comes out at -0.0437 eV/atom.



(6)
Density functional theory data (GGA-PBE) for ZrBeFe2 after structural relaxation.

It has space group C2/m (No. 12), with a = 7.868 Å, b = 3.218 Å, c = 4.444 Å, α = 90.00°, β = 108.58° and γ = 90.00°. The distinct sites, in fractional coordinates, are Zr at (0.000, 0.000, 0.000), Be at (0.000, 0.500, 0.500) and Fe at (0.229, 0.000, 0.683).

The formation energy comes out at 0.0170 eV/atom.